# 1
A plane-wave DFT calculation with PBE-GGA was carried out for a geometry-optimized LaSi2Te structure.

Structure (POSCAR):
```
LaSi2Te
1.0
2.3943 -2.4420 0.0000
2.3943 2.4420 0.0000
0.0000 0.0000 8.7841
La Si Te
1 2 1
Cartesian
0.0000 0.0000 0.0000 La
0.0000 0.0000 3.0813 Si
2.3943 0.0000 2.2546 Si
2.3943 0.0000 6.4418 Te
```

The calculation puts the uncorrected formation energy at -0.12 eV per atom. The calculation puts the electronic total energy at -19.41 eV per cell.



# 2
A plane-wave DFT calculation with PBE-GGA was carried out for a geometry-optimized Dy4Mg5In structure.

Structure (POSCAR):
```
Dy4Mg5In
1.0
7.8903 -2.6267 0.0000
7.8903 2.6267 0.0000
-1.7357 0.0000 6.3080
Dy Mg In
4 5 1
Cartesian
0.8743 0.0000 2.4810 Dy
4.4739 0.0000 1.2129 Dy
9.5711 0.0000 5.0951 Dy
13.1707 0.0000 3.8270 Dy
-0.0398 0.0000 5.7474 Mg
3.5223 0.0000 4.3955 Mg
7.8903 0.0000 0.0000 Mg
10.5227 0.0000 1.9125 Mg
14.0848 0.0000 0.5606 Mg
7.0225 0.0000 3.1540 In
```

The calculation puts the electronic total energy at -30.72 eV per cell.



# 3
A plane-wave DFT calculation with PBE-GGA was carried out for a geometry-optimized TaV3Ge structure.

Structure (POSCAR):
```
TaV3Ge
1.0
4.4452 0.0000 0.0000
0.0000 4.4452 0.0000
0.0000 0.0000 4.4452
Ta V Ge
1 3 1
Cartesian
0.0000 0.0000 0.0000 Ta
0.0000 2.2226 2.2226 V
2.2226 0.0000 2.2226 V
2.2226 2.2226 0.0000 V
2.2226 2.2226 2.2226 Ge
```

The calculation puts the offset from the most stable computed form at 1.037 eV per atom. The calculation puts the electronic total energy at -39.24 eV per cell.



# 4
A plane-wave DFT calculation with PBE-GGA was carried out for a geometry-optimized LaGa2 structure.

Structure (POSCAR):
```
LaGa2
1.0
3.0864 -3.0864 0.0000
3.0864 3.0864 0.0000
-3.0816 0.0000 7.5657
La Ga
2 4
Cartesian
0.7752 2.3159 5.6743 La
2.3160 -2.3159 1.8914 La
2.3259 0.7821 0.6355 Ga
2.3061 0.7821 3.1474 Ga
0.7851 -0.7821 4.4183 Ga
0.7653 -0.7821 6.9302 Ga
```

The calculation puts the electronic total energy at -26.14 eV per cell.